w:
Computed, not measured: a relaxed structure of GaNi2Sn at the GGA-PBE level of DFT.

a b c (Å): 4.269 4.269 3.150
angles (deg): 90.00 90.00 90.00
Fractional positions:
Ga  0.000  0.000  0.000
Ni  0.000  0.500  0.500
Ni  0.500  0.000  0.500
Sn  0.500  0.500  0.000

x:
Computed, not measured: a relaxed structure of GaNi2Sn at the GGA-PBE level of DFT.

a b c (Å): 5.179 5.179 5.877
angles (deg): 105.40 105.40 53.97
Fractional positions:
Ga  0.000  0.000  0.000
Ga  0.771  0.229  0.500
Ni  0.411  0.453  0.794
Ni  0.540  0.051  0.114
Ni  0.547  0.589  0.206
Ni  0.949  0.460  0.886
Sn  0.081  0.555  0.350
Sn  0.445  0.919  0.650

Which structure is most stable? x, by 1.1 kJ/mol of atoms over the runner-up.

w:
Computed, not measured: a relaxed structure of GaNi2Sn at the GGA-PBE level of DFT.

a b c (Å): 5.564 5.564 5.564
angles (deg): 104.19 104.19 120.65
Fractional positions:
Ga  0.000  0.000  0.000
Ga  0.750  0.250  0.500
Ni  0.093  0.125  0.468
Ni  0.375  0.907  0.032
Ni  0.657  0.625  0.532
Ni  0.875  0.343  0.968
Sn  0.250  0.750  0.500
Sn  0.500  0.500  0.000

x:
Computed, not measured: a relaxed structure of GaNi2Sn at the GGA-PBE level of DFT.

a b c (Å): 4.682 4.682 4.682
angles (deg): 52.33 52.33 52.33
Fractional positions:
Ga  0.000  0.000  0.000
Ni  0.278  0.278  0.278
Ni  0.722  0.722  0.722
Sn  0.500  0.500  0.500

y:
Computed, not measured: a relaxed structure of GaNi2Sn at the GGA-PBE level of DFT.

a b c (Å): 3.046 3.046 6.238
angles (deg): 90.00 90.00 90.00
Fractional positions:
Ga  0.000  0.000  0.000
Ni  0.500  0.500  0.215
Ni  0.500  0.500  0.785
Sn  0.000  0.000  0.500

Which structure is most stable? x, by 0.5 kJ/mol of atoms over the runner-up.

w:
Computed, not measured: a relaxed structure of Ga3NiSn at the GGA-PBE level of DFT.

a b c (Å): 5.248 5.248 5.248
angles (deg): 90.00 90.00 90.00
Fractional positions:
Ga  0.000  0.000  0.500
Ga  0.000  0.500  0.000
Ga  0.500  0.000  0.000
Ni  0.500  0.500  0.500
Sn  0.000  0.000  0.000

x:
Computed, not measured: a relaxed structure of Ga3NiSn at the GGA-PBE level of DFT.

a b c (Å): 4.653 4.653 4.653
angles (deg): 90.00 90.00 90.00
Fractional positions:
Ga  0.000  0.000  0.500
Ga  0.000  0.500  0.000
Ga  0.500  0.000  0.000
Ni  0.000  0.000  0.000
Sn  0.500  0.500  0.500

Which structure is most stable? x, by 101.2 kJ/mol of atoms over the runner-up.